Sr2GaMoO6: optimized geometry, GGA+U.

a = 5.6478 Å, b = 5.6014 Å, c = 7.9767 Å
α = 90.00°, β = 89.91°, γ = 90.00°
Last column: nearest neighbours and their distance in Å.
Fractional coordinates of all 20 atoms:
1 Sr 0.0017 0.9923 0.2511  6 O 2.55-2.77
2 Sr 0.5017 0.5077 0.7511  6 O 2.55-2.77
3 Sr 0.9983 0.0077 0.7489  6 O 2.55-2.77
4 Sr 0.4983 0.4923 0.2489  6 O 2.55-2.77
5 Ga 0.5000 0.0000 0.0000  6 O 1.98-2.06
6 Ga 0.0000 0.5000 0.5000  6 O 1.98-2.06
7 Mo 0.5000 0.0000 0.5000  6 O 1.94-2.03
8 Mo 0.0000 0.5000 0.0000  6 O 1.94-2.03
9 O 0.2648 0.7421 0.0286  1 Ga 1.98, 1 Mo 2.03
10 O 0.7648 0.7579 0.5286  1 Ga 1.98, 1 Mo 2.03
11 O 0.7352 0.2579 0.9714  1 Ga 1.98, 1 Mo 2.03
12 O 0.2352 0.2421 0.4714  1 Ga 1.98, 1 Mo 2.03
13 O 0.2691 0.7455 0.4764  1 Mo 1.94, 1 Ga 2.06
14 O 0.7691 0.7545 0.9764  1 Mo 1.94, 1 Ga 2.06
15 O 0.7309 0.2545 0.5236  1 Mo 1.94, 1 Ga 2.06
16 O 0.2309 0.2455 0.0236  1 Mo 1.94, 1 Ga 2.06
17 O 0.9493 0.5007 0.2525  1 Ga 2.00, 1 Mo 2.03
18 O 0.4493 0.9993 0.7525  1 Ga 2.00, 1 Mo 2.03
19 O 0.0507 0.4993 0.7475  1 Ga 2.00, 1 Mo 2.03
20 O 0.5507 0.0007 0.2475  1 Ga 2.00, 1 Mo 2.03

Mass density (g/cm³): 5.75
E_tot (eV per cell): -132.43